VASP calculation (PBE) on an optimized crystal structure of Dy2BiIrO8.

Lattice parameters (Å, degrees): 5.031 5.029 6.741 90.00 90.00 91.47
Sites, in units of the cell vectors:
O: 0.305 0.305 0.500
O: 0.695 0.695 0.500
O: 0.180 0.819 0.776
O: 0.820 0.181 0.776
O: 0.820 0.181 0.224
O: 0.180 0.819 0.224
O: 0.725 0.725 0.000
O: 0.275 0.275 0.000
Dy: 0.500 0.500 0.755
Dy: 0.500 0.500 0.245
Bi: 0.000 0.000 0.500
Ir: 0.000 0.000 0.000

Output
- formation energy (no corrections) (meV per atom) = -1940
- energy (eV/atom) = -7.0741
- Fermi-level density of states (states/eV/f.u.) = 1.061
- crystal system = orthorhombic

VASP calculation (PBE) on an optimized crystal structure of KDyBi.

Lattice parameters (Å, degrees): 4.358 6.162 14.037 102.88 99.26 45.00
Sites, in units of the cell vectors:
Dy: 0.689 0.201 0.804
Dy: 0.686 0.614 0.629
Bi: 0.684 0.085 0.571
Bi: 0.691 0.730 0.862
K: 0.199 0.477 0.352
K: 0.188 0.847 0.081

Output
- energy (eV/atom) = -3.7082
- Fermi-level density of states (states/eV/f.u.) = 1.852
- formation enthalpy at 0 K (eV per atom) = -0.515
- crystal system = triclinic

VASP calculation (PBE) on an optimized crystal structure of KDyBi.

Lattice parameters (Å, degrees): 4.298 4.298 7.634 106.35 106.35 90.00
Sites, in units of the cell vectors:
Dy: 0.273 0.273 0.546
Bi: 0.724 0.724 0.447
K: 0.003 0.003 0.006

Output
- energy (eV/atom) = -3.4731
- Fermi-level density of states (states/eV/f.u.) = 2.356
- formation enthalpy at 0 K (eV per atom) = -0.280
- crystal system = tetragonal

VASP calculation (PBE) on an optimized crystal structure of KLaDyBiO6.

Lattice parameters (Å, degrees): 6.059 6.059 6.059 60.00 60.00 60.00
Sites, in units of the cell vectors:
O: 0.755 0.755 0.245
O: 0.755 0.245 0.755
O: 0.245 0.755 0.245
O: 0.245 0.755 0.755
O: 0.755 0.245 0.245
O: 0.245 0.245 0.755
La: 0.750 0.750 0.750
K: 0.250 0.250 0.250
Dy: 0.500 0.500 0.500
Bi: 0.000 0.000 0.000

Output
- formation energy (no corrections) (meV per atom) = -2169
- energy (eV/atom) = -6.5951
- Fermi-level density of states (states/eV/f.u.) = 0.000
- crystal system = cubic